Record 1
Material: Ge3PC
Method: DFT, PBE
State: relaxed Values from VASP.

Geometry as Quantum ESPRESSO input:
```
&SYSTEM
  ibrav = 0, nat = 5, ntyp = 3
/
ATOMIC_SPECIES
C 12.01 C.upf
Ge 72.64 Ge.upf
P 30.97 P.upf
ATOMIC_POSITIONS angstrom
C 2.334 2.334 2.334
Ge 0.000 2.334 0.000
Ge 0.000 0.000 2.334
P 0.000 0.000 0.000
Ge 2.334 0.000 0.000
CELL_PARAMETERS angstrom
4.668 0.000 0.000
0.000 4.668 0.000
0.000 0.000 4.668
```

## Properties
- SG = No. 221
- E_form (eV per atom) = 1.805
- calculated total energy (eV for the cell shown) = -19.46
- total magnetic moment (μB per atom) = 0.000
- E above lowest polymorph (eV per atom) = 0.7860


Record 2
Material: Ge3PC
Method: DFT, PBE
State: relaxed Values from VASP.

Geometry as Quantum ESPRESSO input:
```
&SYSTEM
  ibrav = 0, nat = 5, ntyp = 3
/
ATOMIC_SPECIES
C 12.01 C.upf
Ge 72.64 Ge.upf
P 30.97 P.upf
ATOMIC_POSITIONS angstrom
C 0.000 0.000 0.000
Ge 0.000 0.000 2.181
P 2.181 2.181 2.181
Ge 2.181 0.000 0.000
Ge 0.000 2.181 0.000
CELL_PARAMETERS angstrom
4.362 0.000 0.000
0.000 4.362 0.000
0.000 0.000 4.362
```

## Properties
- SG = No. 221
- E_form (eV per atom) = 1.019
- calculated total energy (eV for the cell shown) = -23.39
- total magnetic moment (μB per atom) = 0.000
- E above lowest polymorph (eV per atom) = 0.0000


Record 3
Material: GePC2
Method: DFT, PBE
State: relaxed Values from VASP.

Geometry as Quantum ESPRESSO input:
```
&SYSTEM
  ibrav = 0, nat = 8, ntyp = 3
/
ATOMIC_SPECIES
C 12.01 C.upf
Ge 72.64 Ge.upf
P 30.97 P.upf
ATOMIC_POSITIONS angstrom
C 1.316 3.391 1.068
Ge 0.000 0.000 0.000
C 3.391 3.577 3.203
C 5.652 5.466 3.203
C 3.206 1.130 1.068
P 2.261 4.522 2.135
Ge 4.522 2.261 2.135
P 2.261 2.261 0.000
CELL_PARAMETERS angstrom
4.522 0.000 0.000
0.000 4.522 0.000
2.261 2.261 4.271
```

## Properties
- SG = No. 122
- E_form (eV per atom) = 0.716
- calculated total energy (eV for the cell shown) = -51.23
- total magnetic moment (μB per atom) = 0.000
- E above lowest polymorph (eV per atom) = 0.0000


Record 4
Material: GeP2C
Method: DFT, PBE
State: relaxed Values from VASP.

Geometry as Quantum ESPRESSO input:
```
&SYSTEM
  ibrav = 0, nat = 8, ntyp = 3
/
ATOMIC_SPECIES
Ge 72.64 Ge.upf
P 30.97 P.upf
C 12.01 C.upf
ATOMIC_POSITIONS angstrom
Ge 5.669 2.835 1.813
P 3.734 1.417 0.906
C 2.835 2.835 0.000
P 1.935 4.252 0.906
P 4.252 4.770 2.719
Ge 0.000 0.000 0.000
P 7.087 6.569 2.719
C 2.835 5.669 1.813
CELL_PARAMETERS angstrom
5.669 0.000 0.000
0.000 5.669 0.000
2.835 2.835 3.625
```

## Properties
- SG = No. 122
- E_form (eV per atom) = 0.602
- calculated total energy (eV for the cell shown) = -44.51
- total magnetic moment (μB per atom) = 0.000
- E above lowest polymorph (eV per atom) = 0.0000


Record 5
Material: GePC3
Method: DFT, PBE
State: relaxed Values from VASP.

Geometry as Quantum ESPRESSO input:
```
&SYSTEM
  ibrav = 0, nat = 5, ntyp = 3
/
ATOMIC_SPECIES
C 12.01 C.upf
P 30.97 P.upf
Ge 72.64 Ge.upf
ATOMIC_POSITIONS angstrom
C -0.669 0.683 1.733
P 0.975 -1.134 3.084
C -0.207 -1.857 0.652
C 1.851 0.040 0.699
Ge 0.000 0.000 0.000
CELL_PARAMETERS angstrom
-0.413 -3.714 1.304
3.702 0.079 1.398
-1.338 1.366 3.465
```

## Properties
- SG = No. 221
- E_form (eV per atom) = 2.853
- calculated total energy (eV for the cell shown) = -23.43
- total magnetic moment (μB per atom) = 0.000
- E above lowest polymorph (eV per atom) = 0.8176


Record 6
Material: Ge2PC
Method: DFT, PBE
State: relaxed Values from VASP.

Geometry as Quantum ESPRESSO input:
```
&SYSTEM
  ibrav = 0, nat = 8, ntyp = 3
/
ATOMIC_SPECIES
Ge 72.64 Ge.upf
P 30.97 P.upf
C 12.01 C.upf
ATOMIC_POSITIONS angstrom
Ge 3.729 1.348 1.099
Ge 1.665 4.045 1.099
P 5.393 2.697 2.198
C 2.697 5.393 2.198
Ge 6.742 6.425 3.297
C 2.697 2.697 0.000
Ge 4.045 4.361 3.297
P 0.000 0.000 0.000
CELL_PARAMETERS angstrom
5.393 0.000 0.000
0.000 5.393 0.000
2.697 2.697 4.396
```

## Properties
- SG = No. 122
- E_form (eV per atom) = 0.497
- calculated total energy (eV for the cell shown) = -43.76
- total magnetic moment (μB per atom) = 0.000
- E above lowest polymorph (eV per atom) = 0.0000


Record 7
Material: Ge2PC
Method: DFT, PBE
State: relaxed Values from VASP.

Geometry as Quantum ESPRESSO input:
```
&SYSTEM
  ibrav = 0, nat = 4, ntyp = 3
/
ATOMIC_SPECIES
Ge 72.64 Ge.upf
C 12.01 C.upf
P 30.97 P.upf
ATOMIC_POSITIONS angstrom
Ge -6.271 3.704 3.302
Ge -2.090 1.235 1.101
C 0.000 0.000 0.000
P -4.181 2.470 2.201
CELL_PARAMETERS angstrom
-3.697 -0.570 2.227
-1.235 2.945 2.958
-3.429 2.564 -0.782
```

## Properties
- SG = No. 225
- E_form (eV per atom) = 1.420
- calculated total energy (eV for the cell shown) = -18.19
- total magnetic moment (μB per atom) = 0.000
- E above lowest polymorph (eV per atom) = 0.9233


Record 8
Material: GePPdC2
Method: DFT, PBE
State: relaxed Values from VASP.

Geometry as Quantum ESPRESSO input:
```
&SYSTEM
  ibrav = 0, nat = 5, ntyp = 4
/
ATOMIC_SPECIES
C 12.01 C.upf
P 30.97 P.upf
Pd 106.42 Pd.upf
Ge 72.64 Ge.upf
ATOMIC_POSITIONS angstrom
C 0.000 0.000 1.717
C 1.717 0.000 0.000
P 0.000 0.000 0.000
Pd 1.717 4.147 1.717
Ge 0.000 4.147 0.000
CELL_PARAMETERS angstrom
3.435 0.000 0.000
0.000 8.293 0.000
0.000 0.000 3.435
```

## Properties
- SG = No. 123
- E_form (eV per atom) = 1.419
- calculated total energy (eV for the cell shown) = -26.57
- total magnetic moment (μB per atom) = 0.000


Record 9
Material: ReGeP2C
Method: DFT, PBE
State: relaxed Values from VASP.

Geometry as Quantum ESPRESSO input:
```
&SYSTEM
  ibrav = 0, nat = 5, ntyp = 4
/
ATOMIC_SPECIES
P 30.97 P.upf
Ge 72.64 Ge.upf
Re 186.21 Re.upf
C 12.01 C.upf
ATOMIC_POSITIONS angstrom
P -0.803 -0.813 -1.970
Ge 2.277 0.036 -0.942
P 0.339 -2.127 0.739
Re 0.000 0.000 0.000
C 1.814 -2.904 -2.173
CELL_PARAMETERS angstrom
-1.605 -1.625 -3.940
4.554 0.072 -1.885
0.679 -4.254 1.478
```

## Properties
- SG = No. 123
- E_form (eV per atom) = 1.655
- calculated total energy (eV for the cell shown) = -28.84
- total magnetic moment (μB per atom) = 0.329


Record 10
Material: GeP2RuC
Method: DFT, PBE
State: relaxed Values from VASP.

Geometry as Quantum ESPRESSO input:
```
&SYSTEM
  ibrav = 0, nat = 5, ntyp = 4
/
ATOMIC_SPECIES
P 30.97 P.upf
Ge 72.64 Ge.upf
C 12.01 C.upf
Ru 101.07 Ru.upf
ATOMIC_POSITIONS angstrom
P -1.021 -0.742 -1.861
Ge -1.974 -0.641 1.339
C -3.881 0.657 -0.850
P -0.886 2.041 -0.328
Ru 0.000 0.000 0.000
CELL_PARAMETERS angstrom
-2.042 -1.485 -3.722
-3.948 -1.282 2.678
-1.771 4.082 -0.656
```

## Properties
- SG = No. 123
- E_form (eV per atom) = 1.635
- calculated total energy (eV for the cell shown) = -25.76
- total magnetic moment (μB per atom) = 0.169


Record 11
Material: GeP2CS
Method: DFT, PBE
State: relaxed Values from VASP.

Geometry as Quantum ESPRESSO input:
```
&SYSTEM
  ibrav = 0, nat = 5, ntyp = 4
/
ATOMIC_SPECIES
C 12.01 C.upf
P 30.97 P.upf
Ge 72.64 Ge.upf
S 32.06 S.upf
ATOMIC_POSITIONS angstrom
C 0.000 0.000 0.000
P 2.015 0.000 0.000
P 0.000 2.015 0.000
Ge 2.015 2.015 2.233
S 0.000 0.000 2.233
CELL_PARAMETERS angstrom
4.029 0.000 0.000
0.000 4.029 0.000
0.000 0.000 4.466
```

## Properties
- SG = No. 123
- E_form (uncorrected) (eV/atom) = 1.1311
- calculated total energy (eV for the cell shown) = -23.13
- total magnetic moment (μB per atom) = 0.000
- E above lowest polymorph (eV per atom) = 0.0000


Record 12
Material: GePCS2
Method: DFT, PBE
State: relaxed Values from VASP.

Geometry as Quantum ESPRESSO input:
```
&SYSTEM
  ibrav = 0, nat = 5, ntyp = 4
/
ATOMIC_SPECIES
C 12.01 C.upf
S 32.06 S.upf
P 30.97 P.upf
Ge 72.64 Ge.upf
ATOMIC_POSITIONS angstrom
C 2.327 2.327 2.393
S 0.000 2.327 0.000
S 2.327 0.000 0.000
P 0.000 0.000 2.393
Ge 0.000 0.000 0.000
CELL_PARAMETERS angstrom
4.654 0.000 0.000
0.000 4.654 0.000
0.000 0.000 4.786
```

## Properties
- SG = No. 123
- E_form (uncorrected) (eV/atom) = 2.0395
- calculated total energy (eV for the cell shown) = -17.31
- total magnetic moment (μB per atom) = 0.073
- E above lowest polymorph (eV per atom) = 0.9531